# 1
Material: YZn2Rh
Method: DFT, PBE
State: optimized geometry

```
YZn2Rh
1.0
7.4626 0.0000 0.0000
0.0000 7.3917 0.0000
0.0000 0.0000 5.3858
Y Zn Rh
4 8 4
Direct
0.0437 0.2500 0.1043
0.4563 0.7500 0.6043
0.5437 0.2500 0.3957
0.9563 0.7500 0.8957
0.1642 0.0525 0.5872
0.1642 0.4475 0.5872
0.3358 0.5525 0.0872
0.3358 0.9475 0.0872
0.6642 0.0525 0.9128
0.6642 0.4475 0.9128
0.8358 0.5525 0.4128
0.8358 0.9475 0.4128
0.1261 0.7500 0.3521
0.3739 0.2500 0.8521
0.6261 0.7500 0.1479
0.8739 0.2500 0.6479
```

VASP energy = -4.65 eV per atom

=====

# 2
Material: Sm12Ho6Cd
Method: DFT, PBE
State: optimized geometry

```
Sm12Ho6Cd
1.0
5.9869 3.4565 5.0322
-5.9869 3.4565 5.0322
0.0000 -6.9130 5.0322
Sm Ho Cd
12 6 1
Direct
0.0376 0.2841 0.9327
0.0673 0.9624 0.7159
0.1352 0.3221 0.4830
0.2841 0.9327 0.0376
0.3221 0.4830 0.1352
0.4830 0.1352 0.3221
0.5170 0.8648 0.6779
0.6779 0.5170 0.8648
0.7159 0.0673 0.9624
0.8648 0.6779 0.5170
0.9327 0.0376 0.2841
0.9624 0.7159 0.0673
0.2154 0.5995 0.7594
0.2406 0.7846 0.4005
0.4005 0.2406 0.7846
0.5995 0.7594 0.2154
0.7594 0.2154 0.5995
0.7846 0.4005 0.2406
0.5000 0.5000 0.5000
```

VASP energy = -4.37 eV per atom
Relative energy among the computed polymorphs = 0.00 eV/f.u.

=====

# 3
Material: KIn2Sb2Au6
Method: DFT, PBE
State: optimized geometry

```
KIn2Sb2Au6
1.0
6.2145 0.0000 0.0000
1.8140 5.9970 0.0000
1.0880 0.2532 6.9285
K In Sb Au
1 2 2 6
Direct
0.0000 0.0000 0.0000
0.4171 0.3928 0.8485
0.5829 0.6072 0.1515
0.1343 0.1879 0.5239
0.8657 0.8121 0.4761
0.0501 0.4633 0.1905
0.3471 0.7206 0.5344
0.4446 0.0777 0.1878
0.5554 0.9223 0.8122
0.6529 0.2794 0.4656
0.9499 0.5367 0.8095
```

VASP energy = -3.30 eV per atom
E_form (uncorrected) = -0.161 eV per atom

=====

# 4
Material: NpGa5Au7
Method: DFT, PBE
State: optimized geometry

```
NpGa5Au7
1.0
-2.8088 4.7383 4.5620
2.8088 -4.7383 4.5620
2.8088 4.7383 -4.5620
Np Ga Au
1 5 7
Direct
0.0000 0.0000 0.0000
0.4827 0.4959 0.5000
0.4827 0.9827 0.9868
0.7525 0.2525 0.5000
0.9959 0.4959 0.0132
0.9959 0.9827 0.5000
0.1687 0.4769 0.6918
0.2221 0.7221 0.5000
0.3335 0.3335 0.0000
0.3388 0.0037 0.3351
0.6686 0.0037 0.6649
0.6758 0.6758 0.0000
0.7851 0.4769 0.3082
```

VASP energy = -4.06 eV per atom

=====

# 5
Material: Ti2HgPd7
Method: DFT, PBE
State: optimized geometry

```
Ti2HgPd7
1.0
3.5773 -6.5219 0.0000
3.5773 6.5219 0.0000
0.0000 0.0000 4.2677
Ti Hg Pd
2 1 7
Direct
0.1949 0.8051 0.0000
0.8051 0.1949 0.0000
0.5000 0.5000 0.5000
0.0000 0.0000 0.0000
0.1940 0.4264 0.0000
0.2879 0.7121 0.5000
0.4264 0.1940 0.0000
0.5736 0.8060 0.0000
0.7121 0.2879 0.5000
0.8060 0.5736 0.0000
```

VASP energy = -5.17 eV per atom

=====

# 6
Material: Sr2AgPt2
Method: DFT, PBE
State: optimized geometry

```
Sr2AgPt2
1.0
-2.3214 2.9246 4.5271
2.3214 -2.9246 4.5271
2.3214 2.9246 -4.5271
Sr Ag Pt
2 1 2
Direct
0.2000 0.2000 0.0000
0.8000 0.8000 0.0000
0.5000 0.0000 0.5000
0.2301 0.5000 0.7301
0.7699 0.5000 0.2699
```

VASP energy = -4.36 eV per atom
Relative energy among the computed polymorphs = 0.00 eV/f.u.

=====

# 7
Material: SrBe2TcNi
Method: DFT, PBE
State: optimized geometry

```
SrBe2TcNi
1.0
4.2474 0.0000 0.0000
0.0000 4.2474 0.0000
0.0000 0.0000 5.0870
Sr Be Tc Ni
1 2 1 1
Direct
0.0000 0.0000 0.0000
0.0000 0.5000 0.5000
0.5000 0.0000 0.5000
0.5000 0.5000 0.0000
0.0000 0.0000 0.5000
```

VASP energy = -3.95 eV per atom

=====

# 8
Material: Sr3Sb3Pb
Method: DFT, PBE
State: optimized geometry

```
Sr3Sb3Pb
1.0
10.3180 -3.8497 0.0000
10.3180 3.8497 0.0000
0.0000 0.0000 13.5852
Sr Sb Pb
12 12 4
Direct
0.0020 0.6488 0.1278
0.1488 0.5020 0.6278
0.1718 0.8282 0.8628
0.3282 0.6718 0.3628
0.3512 0.9980 0.1278
0.4980 0.8512 0.6278
0.5020 0.1488 0.3722
0.6488 0.0020 0.8722
0.6718 0.3282 0.6372
0.8282 0.1718 0.1372
0.8512 0.4980 0.3722
0.9980 0.3512 0.8722
0.0759 0.5927 0.3713
0.0927 0.5759 0.8713
0.2408 0.7592 0.6204
0.2592 0.7408 0.1204
0.4073 0.9241 0.3713
0.4241 0.9073 0.8713
0.5759 0.0927 0.1287
0.5927 0.0759 0.6287
0.7408 0.2592 0.8796
0.7592 0.2408 0.3796
0.9073 0.4241 0.1287
0.9241 0.4073 0.6287
0.0896 0.0896 0.5000
0.4104 0.4104 0.0000
0.5896 0.5896 0.0000
0.9104 0.9104 0.5000
```

VASP energy = -3.72 eV per atom
E_form (uncorrected) = -0.705 eV per atom